Record 1
Below is a relaxed KCaBe3 crystal, with properties calculated at the PBE level.

CIF file:
```
data_KCaBe3
_cell_length_a 5.5466
_cell_length_b 5.5466
_cell_length_c 5.5466
_cell_angle_alpha 90.00
_cell_angle_beta 90.00
_cell_angle_gamma 90.00
_space_group_name_H-M_alt 'P m -3 m'
_space_group_IT_number 221
_space_group_name_Hall '-P 4 2 3'
loop_
_atom_site_label
_atom_site_type_symbol
_atom_site_fract_x
_atom_site_fract_y
_atom_site_fract_z
_atom_site_occupancy
K1 K 0.0000 0.0000 0.0000 1
Ca1 Ca 0.5000 0.5000 0.5000 1
Be1 Be 0.0000 0.5000 0.5000 1
```

- E_tot (eV per atom) = -1.32
- N(E_F) (states/eV/f.u.) = 4.27
- energy of formation (eV/atom) = 1.53
- polymorph energy (0 for the lowest one) (eV per formula unit) = 0.00



Record 2
Below is a relaxed KCa2Be crystal, with properties calculated at the PBE level.

CIF file:
```
data_KCa2Be
_cell_length_a 4.2250
_cell_length_b 4.0655
_cell_length_c 9.5015
_cell_angle_alpha 90.00
_cell_angle_beta 102.73
_cell_angle_gamma 90.00
_space_group_name_H-M_alt 'P 1 m 1'
_space_group_IT_number 6
_space_group_name_Hall 'P -2y'
loop_
_atom_site_label
_atom_site_type_symbol
_atom_site_fract_x
_atom_site_fract_y
_atom_site_fract_z
_atom_site_occupancy
K1 K 0.0000 0.0000 0.0000 1
Ca1 Ca 0.3104 0.0000 0.6296 1
Ca2 Ca 0.6801 0.5000 0.3658 1
Be1 Be 0.8372 0.5000 0.6850 1
```

- E_tot (eV per atom) = -1.80
- N(E_F) (states/eV/f.u.) = 4.13
- energy of formation (eV/atom) = 0.40



Record 3
Below is a relaxed KCa2Be crystal, with properties calculated at the PBE level.

CIF file:
```
data_KCa2Be
_cell_length_a 7.2858
_cell_length_b 11.6539
_cell_length_c 3.7587
_cell_angle_alpha 90.00
_cell_angle_beta 115.29
_cell_angle_gamma 90.00
_space_group_name_H-M_alt 'C 1 2/m 1'
_space_group_IT_number 12
_space_group_name_Hall '-C 2y'
loop_
_atom_site_label
_atom_site_type_symbol
_atom_site_fract_x
_atom_site_fract_y
_atom_site_fract_z
_atom_site_occupancy
K1 K 0.0000 0.0000 0.0000 1
Ca1 Ca 0.2500 0.2500 0.5000 1
Be1 Be 0.0000 0.5000 0.0000 1
```

- E_tot (eV per atom) = -1.51
- N(E_F) (states/eV/f.u.) = 4.09
- energy of formation (eV/atom) = 0.70



Record 4
Below is a relaxed KCaLa2Be crystal, with properties calculated at the PBE level.

CIF file:
```
data_KCaLa2Be
_cell_length_a 6.1228
_cell_length_b 6.1228
_cell_length_c 5.3071
_cell_angle_alpha 90.00
_cell_angle_beta 90.00
_cell_angle_gamma 90.00
_space_group_name_H-M_alt 'P 4/m m m'
_space_group_IT_number 123
_space_group_name_Hall '-P 4 2'
loop_
_atom_site_label
_atom_site_type_symbol
_atom_site_fract_x
_atom_site_fract_y
_atom_site_fract_z
_atom_site_occupancy
K1 K 0.0000 0.0000 0.0000 1
Ca1 Ca 0.5000 0.5000 0.5000 1
La1 La 0.0000 0.5000 0.5000 1
Be1 Be 0.5000 0.5000 0.0000 1
```

- E_tot (eV per atom) = -2.31
- N(E_F) (states/eV/f.u.) = 7.10
- energy of formation (eV/atom) = 1.02



Record 5
Below is a relaxed K2CaBe2O4 crystal, with properties calculated at the PBE level.

CIF file:
```
data_K2CaBe2O4
_cell_length_a 12.4240
_cell_length_b 3.2130
_cell_length_c 6.5486
_cell_angle_alpha 90.00
_cell_angle_beta 113.29
_cell_angle_gamma 90.00
_space_group_name_H-M_alt 'C 1 2/m 1'
_space_group_IT_number 12
_space_group_name_Hall '-C 2y'
loop_
_atom_site_label
_atom_site_type_symbol
_atom_site_fract_x
_atom_site_fract_y
_atom_site_fract_z
_atom_site_occupancy
K1 K 0.1280 0.0000 0.0474 1
Ca1 Ca 0.0000 0.0000 0.5000 1
Be1 Be 0.1767 0.5000 0.4581 1
O1 O 0.0446 0.5000 0.2920 1
O2 O 0.2110 0.0000 0.6138 1
```

- E_tot (eV per atom) = -5.71
- N(E_F) (states/eV/f.u.) = 0.00
- formation energy (no corrections) (eV/atom) = -2.214



Record 6
Below is a relaxed K2CaBeP2 crystal, with properties calculated at the PBE level.

CIF file:
```
data_K2CaBeP2
_cell_length_a 6.5658
_cell_length_b 14.3423
_cell_length_c 6.4989
_cell_angle_alpha 90.00
_cell_angle_beta 90.00
_cell_angle_gamma 90.00
_space_group_name_H-M_alt 'I b a m'
_space_group_IT_number 72
_space_group_name_Hall '-I 2 2c'
loop_
_atom_site_label
_atom_site_type_symbol
_atom_site_fract_x
_atom_site_fract_y
_atom_site_fract_z
_atom_site_occupancy
K1 K 0.2156 0.1808 0.0000 1
Ca1 Ca 0.0000 0.5000 0.2500 1
Be1 Be 0.0000 0.0000 0.2500 1
P1 P 0.1979 0.0792 0.5000 1
```

- E_tot (eV per atom) = -3.63
- energy of formation (eV/atom) = -0.51



Record 7
Below is a relaxed KCaBe2Ru crystal, with properties calculated at the PBE level.

CIF file:
```
data_KCaBe2Ru
_cell_length_a 4.5904
_cell_length_b 4.5904
_cell_length_c 5.1877
_cell_angle_alpha 90.00
_cell_angle_beta 90.00
_cell_angle_gamma 90.00
_space_group_name_H-M_alt 'P 4/m m m'
_space_group_IT_number 123
_space_group_name_Hall '-P 4 2'
loop_
_atom_site_label
_atom_site_type_symbol
_atom_site_fract_x
_atom_site_fract_y
_atom_site_fract_z
_atom_site_occupancy
K1 K 0.0000 0.0000 0.0000 1
Ca1 Ca 0.5000 0.5000 0.0000 1
Be1 Be 0.0000 0.5000 0.5000 1
Ru1 Ru 0.5000 0.5000 0.5000 1
```

- E_tot (eV per atom) = -3.48
- N(E_F) (states/eV/f.u.) = 2.61
- energy of formation (eV/atom) = 0.48



Record 8
Below is a relaxed K2CaBe2S4 crystal, with properties calculated at the PBE level.

CIF file:
```
data_K2CaBe2S4
_cell_length_a 14.8009
_cell_length_b 3.7854
_cell_length_c 7.6794
_cell_angle_alpha 90.00
_cell_angle_beta 112.05
_cell_angle_gamma 90.00
_space_group_name_H-M_alt 'C 1 2/m 1'
_space_group_IT_number 12
_space_group_name_Hall '-C 2y'
loop_
_atom_site_label
_atom_site_type_symbol
_atom_site_fract_x
_atom_site_fract_y
_atom_site_fract_z
_atom_site_occupancy
K1 K 0.1254 0.0000 0.0458 1
Ca1 Ca 0.0000 0.0000 0.5000 1
Be1 Be 0.1755 0.5000 0.4676 1
S1 S 0.0349 0.5000 0.2721 1
S2 S 0.2107 0.0000 0.6441 1
```

- E_tot (eV per atom) = -4.45
- N(E_F) (states/eV/f.u.) = 0.00
- formation energy (no corrections) (eV/atom) = -1.322



Record 9
Below is a relaxed KCaBe2Se crystal, with properties calculated at the PBE level.

CIF file:
```
data_KCaBe2Se
_cell_length_a 5.5587
_cell_length_b 5.5587
_cell_length_c 5.4796
_cell_angle_alpha 90.00
_cell_angle_beta 90.00
_cell_angle_gamma 90.00
_space_group_name_H-M_alt 'P 4/m m m'
_space_group_IT_number 123
_space_group_name_Hall '-P 4 2'
loop_
_atom_site_label
_atom_site_type_symbol
_atom_site_fract_x
_atom_site_fract_y
_atom_site_fract_z
_atom_site_occupancy
K1 K 0.0000 0.0000 0.0000 1
Ca1 Ca 0.5000 0.5000 0.5000 1
Be1 Be 0.0000 0.5000 0.5000 1
Se1 Se 0.5000 0.5000 0.0000 1
```

- E_tot (eV per atom) = -2.22
- N(E_F) (states/eV/f.u.) = 2.20
- formation energy (no corrections) (eV/atom) = 0.590



Record 10
Below is a relaxed KCaTa2Be crystal, with properties calculated at the PBE level.

CIF file:
```
data_KCaTa2Be
_cell_length_a 4.5939
_cell_length_b 4.5939
_cell_length_c 5.8145
_cell_angle_alpha 90.00
_cell_angle_beta 90.00
_cell_angle_gamma 90.00
_space_group_name_H-M_alt 'P 4/m m m'
_space_group_IT_number 123
_space_group_name_Hall '-P 4 2'
loop_
_atom_site_label
_atom_site_type_symbol
_atom_site_fract_x
_atom_site_fract_y
_atom_site_fract_z
_atom_site_occupancy
K1 K 0.0000 0.0000 0.0000 1
Ca1 Ca 0.5000 0.5000 0.0000 1
Ta1 Ta 0.0000 0.5000 0.5000 1
Be1 Be 0.0000 0.0000 0.5000 1
```

- E_tot (eV per atom) = -4.90
- N(E_F) (states/eV/f.u.) = 5.89
- energy of formation (eV/atom) = 1.20



Record 11
Below is a relaxed KCa2TaBe crystal, with properties calculated at the PBE level.

CIF file:
```
data_KCa2TaBe
_cell_length_a 5.2915
_cell_length_b 5.2915
_cell_length_c 5.0571
_cell_angle_alpha 90.00
_cell_angle_beta 90.00
_cell_angle_gamma 90.00
_space_group_name_H-M_alt 'P 4/m m m'
_space_group_IT_number 123
_space_group_name_Hall '-P 4 2'
loop_
_atom_site_label
_atom_site_type_symbol
_atom_site_fract_x
_atom_site_fract_y
_atom_site_fract_z
_atom_site_occupancy
K1 K 0.0000 0.0000 0.0000 1
Ca1 Ca 0.0000 0.5000 0.0000 1
Ta1 Ta 0.0000 0.0000 0.5000 1
Be1 Be 0.5000 0.5000 0.5000 1
```

- E_tot (eV per atom) = -1.98
- N(E_F) (states/eV/f.u.) = 4.55
- energy of formation (eV/atom) = 2.16



Record 12
Below is a relaxed KCa2BeW crystal, with properties calculated at the PBE level.

CIF file:
```
data_KCa2BeW
_cell_length_a 5.5728
_cell_length_b 5.5728
_cell_length_c 5.6496
_cell_angle_alpha 90.00
_cell_angle_beta 90.00
_cell_angle_gamma 90.00
_space_group_name_H-M_alt 'P 4/m m m'
_space_group_IT_number 123
_space_group_name_Hall '-P 4 2'
loop_
_atom_site_label
_atom_site_type_symbol
_atom_site_fract_x
_atom_site_fract_y
_atom_site_fract_z
_atom_site_occupancy
K1 K 0.0000 0.0000 0.0000 1
Ca1 Ca 0.0000 0.5000 0.5000 1
Be1 Be 0.0000 0.0000 0.5000 1
W1 W 0.5000 0.5000 0.0000 1
```

- E_tot (eV per atom) = -2.83
- N(E_F) (states/eV/f.u.) = 3.66
- energy of formation (eV/atom) = 1.53